# 1
## Rb3PSe (PBE-GGA)

Data for an optimized crystal structure of Rb3PSe.

Cell: 6.545 6.545 6.545 Å, 90.00 90.00 90.00°
Each line ends with the local moment (μB).
Fractional positions:
1 P 0.500 0.500 0.500  0.73
2 Se 0.000 0.000 0.000  0.03
3 Rb 0.000 0.500 0.000  0.00
4 Rb 0.000 0.000 0.500  0.00
5 Rb 0.500 0.000 0.000  0.00

Results
calculated total energy = -2.569 eV per atom
polymorph energy (0 for the lowest one) = 507 meV/atom
uncorrected formation energy = -0.209 eV/atom

---

# 2
## TbDyPuTl (PBE-GGA)

Data for an optimized crystal structure of TbDyPuTl.

Cell: 5.420 5.420 5.420 Å, 60.00 60.00 60.00°
Each line ends with the local moment (μB).
Fractional positions:
1 Tl 0.750 0.750 0.750  -0.04
2 Dy 0.000 0.000 0.000  0.31
3 Tb 0.500 0.500 0.500  0.30
4 Pu 0.250 0.250 0.250  5.70

Results
calculated total energy = -6.441 eV per atom

---

# 3
## ZrCuTe2 (PBE-GGA)

Data for an optimized crystal structure of ZrCuTe2.

Cell: 6.407 6.407 7.495 Å, 64.70 64.70 90.00°
Each line ends with the local moment (μB).
Fractional positions:
1 Te 0.595 0.125 0.250  -0.02
2 Te 0.155 0.625 0.250  -0.02
3 Te 0.375 0.405 0.750  -0.03
4 Te 0.875 0.845 0.750  -0.03
5 Cu 0.500 0.500 0.000  0.00
6 Cu 0.250 0.750 0.500  0.00
7 Zr 0.000 0.000 0.000  0.57
8 Zr 0.750 0.250 0.500  0.56

Results
calculated total energy = -4.984 eV per atom
uncorrected formation energy = -0.252 eV/atom

---

# 4
## CrCdNi2H (PBE-GGA)

Data for an optimized crystal structure of CrCdNi2H.

Cell: 3.897 3.897 3.807 Å, 90.00 90.00 90.00°
Each line ends with the local moment (μB).
Fractional positions:
1 Ni 0.000 0.500 0.000  0.48
2 Ni 0.500 0.000 0.000  0.48
3 Cr 0.000 0.000 0.500  3.20
4 H 0.000 0.000 0.000  -0.01
5 Cd 0.500 0.500 0.500  0.02

Results
calculated total energy = -4.984 eV per atom

---

# 5
## Li4Mg2Pd3 (PBE-GGA)

Data for an optimized crystal structure of Li4Mg2Pd3.

Cell: 3.863 6.458 6.317 Å, 109.69 107.80 90.00°
Fractional positions:
1 Li 0.554 0.355 0.108
2 Li 0.781 0.658 0.562
3 Li 0.446 0.645 0.892
4 Li 0.219 0.342 0.438
5 Mg 0.344 0.009 0.688
6 Mg 0.656 0.991 0.312
7 Pd 0.882 0.324 0.765
8 Pd 0.118 0.676 0.235
9 Pd 0.000 0.000 0.000

Results
calculated total energy = -3.360 eV per atom
polymorph energy (0 for the lowest one) = 0 meV/atom

---

# 6
## CeDyGePd (PBE-GGA)

Data for an optimized crystal structure of CeDyGePd.

Cell: 5.078 5.078 5.078 Å, 60.00 60.00 60.00°
Each line ends with the local moment (μB).
Fractional positions:
1 Ge 0.250 0.250 0.250  -0.01
2 Pd 0.750 0.750 0.750  -0.01
3 Ce 0.500 0.500 0.500  0.83
4 Dy 0.000 0.000 0.000  0.11

Results
calculated total energy = -5.769 eV per atom

---

# 7
## Nd8SmCd2 (PBE-GGA)

Data for an optimized crystal structure of Nd8SmCd2.

Cell: 5.815 8.959 8.959 Å, 119.82 101.29 101.29°
Fractional positions:
1 Nd 0.887 0.907 0.682
2 Nd 0.887 0.682 0.907
3 Nd 0.298 0.598 0.598
4 Nd 0.500 0.779 0.221
5 Nd 0.500 0.221 0.779
6 Nd 0.702 0.402 0.402
7 Nd 0.113 0.318 0.093
8 Nd 0.113 0.093 0.318
9 Sm 0.500 0.000 0.000
10 Cd 0.000 0.306 0.694
11 Cd 0.000 0.694 0.306

Results
calculated total energy = -4.053 eV per atom
polymorph energy (0 for the lowest one) = 83 meV/atom

---

# 8
## Tb3SiC (PBE-GGA)

Data for an optimized crystal structure of Tb3SiC.

Cell: 5.009 6.181 8.486 Å, 67.65 72.83 66.10°
Fractional positions:
1 Tb 0.898 0.994 0.210
2 Tb 0.102 0.006 0.790
3 Tb 0.633 0.648 0.085
4 Tb 0.367 0.352 0.915
5 Tb 0.848 0.656 0.648
6 Tb 0.152 0.344 0.352
7 Si 0.408 0.745 0.440
8 Si 0.592 0.255 0.560
9 C 0.128 0.673 0.070
10 C 0.872 0.327 0.930

Results
calculated total energy = -6.076 eV per atom
uncorrected formation energy = -0.369 eV/atom

---

# 9
## MnIn2W (PBE-GGA)

Data for an optimized crystal structure of MnIn2W.

Cell: 5.559 5.559 5.559 Å, 147.86 126.40 63.88°
Each line ends with the local moment (μB).
Fractional positions:
1 In 0.012 0.012 0.000  -0.04
2 In 0.488 0.488 0.000  -0.04
3 Mn 0.250 0.750 0.500  3.09
4 W 0.750 0.250 0.500  -0.20

Results
calculated total energy = -6.314 eV per atom
polymorph energy (0 for the lowest one) = 264 meV/atom